! PBE CuH2Au, relaxed; values from VASP
! * magnetization: 0.000 μB per cell
! * ΔE to the lowest computed polymorph: 430.8 meV/atom
&SYSTEM
  ibrav = 0, nat = 4, ntyp = 3
/
ATOMIC_SPECIES
Cu 63.55 Cu.upf
H 1.01 H.upf
Au 196.97 Au.upf
CELL_PARAMETERS angstrom
0.000 2.664 2.664
2.664 0.000 2.664
2.664 2.664 0.000
ATOMIC_POSITIONS angstrom
Cu 0.000 0.000 0.000
H 1.332 1.332 1.332
H 3.996 3.996 3.996
Au 2.664 2.664 2.664